8
Lattice="6.727 0.000 0.000 0.000 6.727 0.000 3.363 3.363 6.126" Properties=species:S:1:pos:R:3 comment="MgI2F, optimized geometry, DFT PBE" magmom_total_mub_per_fu=1.000 e_above_lowest_polymorph_kj_per_mol_atoms=0.0 e_form_raw_ev_per_atom=-0.748 dos_ef_per_ev_cell=5.02 space_group="I-42d (122)" pbc="T T T"
I 5.135 1.682 1.532
I 1.592 5.045 1.532
I 5.045 4.955 4.595
I 8.408 8.498 4.595
Mg 0.000 0.000 0.000
Mg 6.727 3.363 3.063
F 3.363 3.363 0.000
F 3.363 6.727 3.063